This record from Alexandria describes a relaxed TaMoCl2 crystal. The functional is PBE.

a b c (Å): 7.2781 7.2781 4.4330
angles (deg): 96.04 96.04 24.68
Last column: nearest neighbours and their distance in Å.
Atoms (fractional coordinates):
1 Ta 0.0000 0.0000 0.0000  4 Cl 2.60, 4 Mo 2.71
2 Mo 0.5000 0.5000 0.5000  2 Cl 2.47, 4 Ta 2.71
3 Cl 0.3617 0.3617 0.7920  1 Mo 2.47, 2 Ta 2.60
4 Cl 0.6383 0.6383 0.2080  1 Mo 2.47, 2 Ta 2.60

## Properties
DFT total energy = -26.80 eV/f.u.
Formation energy without anion corrections = -0.107 eV per atom
E above lowest polymorph = 370 meV per atom